# 1
{
  "formula": "Dy3ReB7",
  "functional": "PBEsol",
  "state": "optimized geometry",
  "cell": [[-1.3234, -2.4399, 2.1272], [7.8120, -0.1035, 1.8670], [-1.4694, 6.4702, 6.5071]],
  "species": ["B", "B", "B", "B", "B", "B", "B", "B", "B", "B", "B", "B", "B", "B", "Dy", "Dy", "Dy", "Dy", "Dy", "Dy", "Re", "Re"],
  "frac_coords": [[0.4566, 0.9132, 0.7500], [0.3676, 0.7351, 0.3497], [0.4795, 0.9589, 0.0949], [0.3676, 0.7351, 0.1503], [0.5205, 0.0411, 0.5949], [0.7271, 0.4542, 0.5325], [0.2729, 0.5458, 0.4675], [0.7271, 0.4542, 0.9675], [0.5434, 0.0868, 0.2500], [0.2729, 0.5458, 0.0325], [0.5205, 0.0411, 0.9051], [0.4795, 0.9589, 0.4051], [0.6324, 0.2649, 0.6503], [0.6324, 0.2649, 0.8497], [0.1054, 0.2107, 0.0598], [0.7575, 0.5151, 0.2500], [0.1054, 0.2107, 0.4402], [0.8946, 0.7893, 0.9402], [0.2425, 0.4849, 0.7500], [0.8946, 0.7893, 0.5598], [0.0530, 0.1061, 0.7500], [0.9470, 0.8939, 0.2500]],
  "formation_enthalpy_0k_ev_per_atom": -0.6814,
  "n_ef_per_ev_cell": 9.411,
  "magnetic_moment_mub_per_atom": 0.000,
  "energy_ev_per_atom": -7.716
}



# 2
{
  "formula": "DyB4Rh4",
  "functional": "PBEsol",
  "state": "optimized geometry",
  "cell": [[-4.4728, -2.7911, 0.1467], [0.2147, -0.0672, 5.2694], [-3.8891, 6.2448, 0.2381]],
  "species": ["Dy", "Dy", "B", "B", "B", "B", "B", "B", "B", "B", "Rh", "Rh", "Rh", "Rh", "Rh", "Rh", "Rh", "Rh"],
  "frac_coords": [[0.5000, 0.5000, 0.5000], [0.0000, 0.0000, 0.0000], [0.1703, 0.5000, 0.1497], [0.8297, 0.5000, 0.1497], [0.6703, 0.0000, 0.3503], [0.5000, 0.1703, 0.8503], [0.3297, 0.0000, 0.3503], [0.5000, 0.8297, 0.8503], [0.0000, 0.6703, 0.6497], [0.0000, 0.3297, 0.6497], [0.7486, 0.5000, 0.8549], [0.0000, 0.2486, 0.3549], [0.7514, 0.0000, 0.6451], [0.0000, 0.7514, 0.3549], [0.5000, 0.2514, 0.1451], [0.2514, 0.5000, 0.8549], [0.5000, 0.7486, 0.1451], [0.2486, 0.0000, 0.6451]],
  "formation_enthalpy_0k_ev_per_atom": -0.6472,
  "n_ef_per_ev_cell": 8.650,
  "magnetic_moment_mub_per_atom": 0.000,
  "energy_ev_per_atom": -7.936
}



# 3
{
  "formula": "DyB2Rh3",
  "functional": "PBEsol",
  "state": "optimized geometry",
  "cell": [[3.1053, 0.0000, 0.0000], [0.0000, 5.3410, 0.0000], [0.0000, -2.6705, 4.6255]],
  "species": ["B", "B", "Rh", "Rh", "Rh", "Dy"],
  "frac_coords": [[0.5000, 0.6667, 0.3333], [0.5000, 0.3333, 0.6667], [0.0000, 0.5000, 0.5000], [0.0000, 0.5000, 0.0000], [0.0000, 0.0000, 0.5000], [0.5000, 0.0000, 0.0000]],
  "formation_enthalpy_0k_ev_per_atom": -0.7646,
  "n_ef_per_ev_cell": 1.695,
  "magnetic_moment_mub_per_atom": 0.000,
  "energy_ev_per_atom": -8.002
}



# 4
{
  "formula": "Dy2B6Ru",
  "functional": "PBEsol",
  "state": "optimized geometry",
  "cell": [[3.6156, 0.0000, 0.0000], [0.0000, 9.0859, 0.0000], [0.0000, 0.0000, 11.4432]],
  "species": ["B", "B", "B", "B", "B", "B", "B", "B", "B", "B", "B", "B", "B", "B", "B", "B", "B", "B", "B", "B", "B", "B", "B", "B", "Ru", "Ru", "Ru", "Ru", "Dy", "Dy", "Dy", "Dy", "Dy", "Dy", "Dy", "Dy"],
  "frac_coords": [[0.5000, 0.9462, 0.9329], [0.5000, 0.3917, 0.9701], [0.5000, 0.2095, 0.7336], [0.5000, 0.7523, 0.9198], [0.5000, 0.7905, 0.2664], [0.5000, 0.4834, 0.2875], [0.5000, 0.0166, 0.7875], [0.5000, 0.8917, 0.5299], [0.5000, 0.7477, 0.4198], [0.5000, 0.3685, 0.8146], [0.5000, 0.1315, 0.3146], [0.5000, 0.1083, 0.4701], [0.5000, 0.7095, 0.7664], [0.5000, 0.5166, 0.7125], [0.5000, 0.2905, 0.2336], [0.5000, 0.5538, 0.4329], [0.5000, 0.0538, 0.0671], [0.5000, 0.6083, 0.0299], [0.5000, 0.8685, 0.6854], [0.5000, 0.6315, 0.1854], [0.5000, 0.2477, 0.0802], [0.5000, 0.2523, 0.5802], [0.5000, 0.9834, 0.2125], [0.5000, 0.4462, 0.5671], [0.0000, 0.3622, 0.6788], [0.0000, 0.8622, 0.8212], [0.0000, 0.1378, 0.1788], [0.0000, 0.6378, 0.3212], [0.0000, 0.3226, 0.4140], [0.0000, 0.9434, 0.3720], [0.0000, 0.0566, 0.6280], [0.0000, 0.1774, 0.9140], [0.0000, 0.4434, 0.1280], [0.0000, 0.6774, 0.5860], [0.0000, 0.8226, 0.0860], [0.0000, 0.5566, 0.8720]],
  "formation_enthalpy_0k_ev_per_atom": -0.7402,
  "n_ef_per_ev_cell": 3.455,
  "magnetic_moment_mub_per_atom": 0.000,
  "energy_ev_per_atom": -7.654
}



# 5
{
  "formula": "Dy5Si2B8",
  "functional": "PBEsol",
  "state": "optimized geometry",
  "cell": [[-0.0233, 6.2154, -3.5983], [-4.6671, 2.7219, 4.7318], [6.0657, 2.6154, 4.4783]],
  "species": ["B", "B", "B", "B", "B", "B", "B", "B", "B", "B", "B", "B", "B", "B", "B", "B", "Dy", "Dy", "Dy", "Dy", "Dy", "Dy", "Dy", "Dy", "Dy", "Dy", "Si", "Si", "Si", "Si"],
  "frac_coords": [[0.0000, 0.0000, 0.8364], [0.0000, 0.0000, 0.1636], [0.0395, 0.8274, 0.0000], [0.4605, 0.3274, 0.0000], [0.9605, 0.1726, 0.0000], [0.5395, 0.6726, 0.0000], [0.3274, 0.5395, 0.0000], [0.6726, 0.4605, 0.0000], [0.9098, 0.4098, 0.0000], [0.8274, 0.9605, 0.0000], [0.5000, 0.5000, 0.1636], [0.1726, 0.0395, 0.0000], [0.4098, 0.0902, 0.0000], [0.0902, 0.5902, 0.0000], [0.5902, 0.9098, 0.0000], [0.5000, 0.5000, 0.8364], [0.0000, 0.0000, 0.5000], [0.5000, 0.5000, 0.5000], [0.3190, 0.8190, 0.2239], [0.6810, 0.1810, 0.7761], [0.3190, 0.8190, 0.7761], [0.1810, 0.3190, 0.2239], [0.8190, 0.6810, 0.7761], [0.6810, 0.1810, 0.2239], [0.1810, 0.3190, 0.7761], [0.8190, 0.6810, 0.2239], [0.1155, 0.6155, 0.5000], [0.3845, 0.1155, 0.5000], [0.6155, 0.8845, 0.5000], [0.8845, 0.3845, 0.5000]],
  "e_form_raw_mev_per_atom": -733,
  "n_ef_per_ev_cell": 9.257,
  "magnetic_moment_mub_per_atom": 0.000,
  "energy_ev_per_atom": -6.901
}



# 6
{
  "formula": "DyVB4",
  "functional": "PBEsol",
  "state": "optimized geometry",
  "cell": [[3.3952, 0.0000, 0.0000], [0.0000, 5.9698, 0.0000], [0.0000, 0.0000, 11.5625]],
  "species": ["V", "V", "V", "V", "B", "B", "B", "B", "B", "B", "B", "B", "B", "B", "B", "B", "B", "B", "B", "B", "Dy", "Dy", "Dy", "Dy"],
  "frac_coords": [[0.0000, 0.1274, 0.4170], [0.0000, 0.8726, 0.5830], [0.0000, 0.6274, 0.0830], [0.0000, 0.3726, 0.9170], [0.5000, 0.1148, 0.5474], [0.5000, 0.3645, 0.4672], [0.5000, 0.2141, 0.8142], [0.5000, 0.5231, 0.8077], [0.5000, 0.9769, 0.3077], [0.5000, 0.1355, 0.9672], [0.5000, 0.7859, 0.1858], [0.5000, 0.2859, 0.3142], [0.5000, 0.7141, 0.6858], [0.5000, 0.4769, 0.1923], [0.5000, 0.0231, 0.6923], [0.5000, 0.6355, 0.5328], [0.5000, 0.3852, 0.0474], [0.5000, 0.8645, 0.0328], [0.5000, 0.8852, 0.4526], [0.5000, 0.6148, 0.9526], [0.0000, 0.3756, 0.6514], [0.0000, 0.1244, 0.1514], [0.0000, 0.8756, 0.8486], [0.0000, 0.6244, 0.3486]],
  "formation_enthalpy_0k_ev_per_atom": -0.7819,
  "n_ef_per_ev_cell": 4.237,
  "magnetic_moment_mub_per_atom": 0.000,
  "energy_ev_per_atom": -7.895
}



# 7
{
  "formula": "ErB2",
  "functional": "PBEsol",
  "state": "optimized geometry",
  "cell": [[3.2480, 0.0000, 0.0000], [-1.6240, 2.8128, 0.0000], [0.0000, 0.0000, 3.7625]],
  "species": ["Er", "B", "B"],
  "frac_coords": [[0.0000, 0.0000, 0.0000], [0.3333, 0.6667, 0.5000], [0.6667, 0.3333, 0.5000]],
  "formation_enthalpy_0k_ev_per_atom": -0.6991,
  "n_ef_per_ev_cell": 0.932,
  "magnetic_moment_mub_per_atom": 0.000,
  "energy_ev_per_atom": -7.019
}



# 8
{
  "formula": "ErB6",
  "functional": "PBEsol",
  "state": "optimized geometry",
  "cell": [[4.0642, 0.0000, 0.0000], [0.0000, 4.0642, 0.0000], [0.0000, 0.0000, 4.0642]],
  "species": ["B", "B", "B", "B", "B", "B", "Er"],
  "frac_coords": [[0.5000, 0.5000, 0.8014], [0.5000, 0.8014, 0.5000], [0.1986, 0.5000, 0.5000], [0.5000, 0.5000, 0.1986], [0.8014, 0.5000, 0.5000], [0.5000, 0.1986, 0.5000], [0.0000, 0.0000, 0.0000]],
  "formation_enthalpy_0k_ev_per_atom": -0.3761,
  "n_ef_per_ev_cell": 0.873,
  "magnetic_moment_mub_per_atom": 0.000,
  "energy_ev_per_atom": -7.094
}



Repeat the first record exactly.
{
  "formula": "Dy3ReB7",
  "functional": "PBEsol",
  "state": "optimized geometry",
  "cell": [[-1.3234, -2.4399, 2.1272], [7.8120, -0.1035, 1.8670], [-1.4694, 6.4702, 6.5071]],
  "species": ["B", "B", "B", "B", "B", "B", "B", "B", "B", "B", "B", "B", "B", "B", "Dy", "Dy", "Dy", "Dy", "Dy", "Dy", "Re", "Re"],
  "frac_coords": [[0.4566, 0.9132, 0.7500], [0.3676, 0.7351, 0.3497], [0.4795, 0.9589, 0.0949], [0.3676, 0.7351, 0.1503], [0.5205, 0.0411, 0.5949], [0.7271, 0.4542, 0.5325], [0.2729, 0.5458, 0.4675], [0.7271, 0.4542, 0.9675], [0.5434, 0.0868, 0.2500], [0.2729, 0.5458, 0.0325], [0.5205, 0.0411, 0.9051], [0.4795, 0.9589, 0.4051], [0.6324, 0.2649, 0.6503], [0.6324, 0.2649, 0.8497], [0.1054, 0.2107, 0.0598], [0.7575, 0.5151, 0.2500], [0.1054, 0.2107, 0.4402], [0.8946, 0.7893, 0.9402], [0.2425, 0.4849, 0.7500], [0.8946, 0.7893, 0.5598], [0.0530, 0.1061, 0.7500], [0.9470, 0.8939, 0.2500]],
  "formation_enthalpy_0k_ev_per_atom": -0.6814,
  "n_ef_per_ev_cell": 9.411,
  "magnetic_moment_mub_per_atom": 0.000,
  "energy_ev_per_atom": -7.716
}